#A
{"formula": "PmYSe2", "functional": "PBE", "state": "optimized geometry", "lattice_angstrom": [[4.133, 0.000, 0.000], [2.067, 3.580, 0.000], [2.067, 1.193, 6.790]], "species": ["Pm", "Y", "Se", "Se"], "frac_coords": [[0.000, 0.000, 0.000], [0.500, 0.500, 0.500], [0.753, 0.753, 0.740], [0.247, 0.247, 0.260]]}


#B
{"formula": "PmYSe2", "functional": "PBE", "state": "optimized geometry", "lattice_angstrom": [[4.334, 0.000, -0.001], [0.000, 6.515, 0.000], [0.002, -0.001, 9.326]], "species": ["Y", "Y", "Pm", "Pm", "Se", "Se", "Se", "Se"], "frac_coords": [[0.201, 0.928, 0.193], [0.701, 0.428, 0.023], [0.701, 0.305, 0.447], [0.201, 0.805, 0.769], [0.701, 0.663, 0.271], [0.201, 0.163, 0.945], [0.201, 0.038, 0.502], [0.701, 0.538, 0.714]]}


Q: Which of them is the most stable? A: #A.


#A
{"formula": "PmY3Se4", "functional": "PBE", "state": "optimized geometry", "lattice_angstrom": [[5.823, 0.000, 0.000], [0.000, 5.823, 0.000], [0.000, 0.000, 5.823]], "species": ["Se", "Se", "Se", "Se", "Pm", "Y", "Y", "Y"], "frac_coords": [[0.000, 0.000, 0.500], [0.000, 0.500, 0.000], [0.500, 0.500, 0.500], [0.500, 0.000, 0.000], [0.000, 0.000, 0.000], [0.500, 0.500, 0.000], [0.000, 0.500, 0.500], [0.500, 0.000, 0.500]]}


#B
{"formula": "PmY3Se4", "functional": "PBE", "state": "optimized geometry", "lattice_angstrom": [[4.060, 0.000, 0.620], [1.983, 3.543, 0.620], [-0.013, -0.007, 13.689]], "species": ["Se", "Se", "Se", "Se", "Y", "Y", "Y", "Pm"], "frac_coords": [[0.874, 0.874, 0.377], [0.126, 0.126, 0.623], [0.623, 0.623, 0.132], [0.377, 0.377, 0.868], [0.249, 0.249, 0.253], [0.500, 0.500, 0.500], [0.751, 0.751, 0.747], [0.000, 0.000, 0.000]]}


Q: Which of them is the most stable? A: #B.


#A
{"formula": "Pm2ZnSe", "functional": "PBE", "state": "optimized geometry", "lattice_angstrom": [[-3.362, -2.374, 1.331], [1.671, -3.320, -1.701], [4.822, -0.678, 10.970]], "species": ["Se", "Se", "Zn", "Zn", "Pm", "Pm", "Pm", "Pm"], "frac_coords": [[0.750, 0.807, 0.615], [0.250, 0.193, 0.385], [0.250, 0.462, 0.924], [0.750, 0.538, 0.076], [0.250, 0.317, 0.633], [0.250, 0.069, 0.138], [0.750, 0.931, 0.862], [0.750, 0.683, 0.367]]}


#B
{"formula": "Pm2ZnSe", "functional": "PBE", "state": "optimized geometry", "lattice_angstrom": [[-0.898, 0.684, 3.545], [1.569, -3.216, 1.018], [6.147, 3.291, 0.922]], "species": ["Pm", "Pm", "Zn", "Se"], "frac_coords": [[0.000, 0.000, 0.251], [0.000, 0.000, 0.749], [0.500, 0.500, 0.000], [0.500, 0.500, 0.500]]}


#C
{"formula": "Pm2ZnSe", "functional": "PBE", "state": "optimized geometry", "lattice_angstrom": [[4.107, 0.000, 0.000], [2.053, 3.556, 0.000], [2.053, 1.185, 7.361]], "species": ["Zn", "Pm", "Pm", "Se"], "frac_coords": [[0.000, 0.000, 0.000], [0.246, 0.246, 0.262], [0.754, 0.754, 0.738], [0.500, 0.500, 0.500]]}


Q: Which of them is the most stable? A: #A.


#A
{"formula": "Pm2ZrSe5", "functional": "PBE", "state": "optimized geometry", "lattice_angstrom": [[-1.851, -7.503, -0.273], [7.304, -1.674, -3.531], [4.985, -1.633, 11.088]], "species": ["Se", "Se", "Se", "Se", "Se", "Se", "Se", "Se", "Se", "Se", "Se", "Se", "Se", "Se", "Se", "Se", "Se", "Se", "Se", "Se", "Zr", "Zr", "Zr", "Zr", "Pm", "Pm", "Pm", "Pm", "Pm", "Pm", "Pm", "Pm"], "frac_coords": [[0.163, 0.538, 0.090], [0.165, 0.750, 0.819], [0.185, 0.250, 0.793], [0.837, 0.038, 0.910], [0.663, 0.462, 0.410], [0.337, 0.962, 0.590], [0.335, 0.750, 0.319], [0.337, 0.538, 0.590], [0.447, 0.250, 0.004], [0.665, 0.250, 0.681], [0.685, 0.750, 0.707], [0.315, 0.250, 0.293], [0.835, 0.250, 0.181], [0.053, 0.250, 0.504], [0.947, 0.750, 0.496], [0.663, 0.038, 0.410], [0.837, 0.462, 0.910], [0.163, 0.962, 0.090], [0.553, 0.750, 0.996], [0.815, 0.750, 0.207], [0.421, 0.250, 0.507], [0.921, 0.750, 0.993], [0.079, 0.250, 0.007], [0.579, 0.750, 0.493], [0.972, 0.503, 0.678], [0.472, 0.497, 0.822], [0.028, 0.497, 0.322], [0.472, 0.003, 0.822], [0.528, 0.997, 0.178], [0.028, 0.003, 0.322], [0.528, 0.503, 0.178], [0.972, 0.997, 0.678]]}


#B
{"formula": "Pm2ZrSe5", "functional": "PBE", "state": "optimized geometry", "lattice_angstrom": [[-2.381, 4.878, 1.252], [1.592, -3.996, 6.208], [12.207, 5.804, 0.605]], "species": ["Se", "Se", "Se", "Se", "Se", "Se", "Se", "Se", "Se", "Se", "Zr", "Zr", "Pm", "Pm", "Pm", "Pm"], "frac_coords": [[0.731, 0.462, 0.250], [0.952, 0.903, 0.876], [0.269, 0.538, 0.750], [0.308, 0.616, 0.086], [0.692, 0.384, 0.586], [0.952, 0.903, 0.624], [0.692, 0.384, 0.914], [0.308, 0.616, 0.414], [0.048, 0.097, 0.376], [0.048, 0.097, 0.124], [0.810, 0.620, 0.750], [0.190, 0.380, 0.250], [0.147, 0.294, 0.562], [0.853, 0.706, 0.438], [0.147, 0.294, 0.938], [0.853, 0.706, 0.062]]}


Q: Which of them is the most stable? A: #A.


#A
{"formula": "Pm2Si3", "functional": "PBE", "state": "optimized geometry", "lattice_angstrom": [[-3.534, -2.445, 0.188], [0.683, -0.688, 3.888], [-5.000, 11.231, 2.867]], "species": ["Si", "Si", "Si", "Si", "Si", "Si", "Pm", "Pm", "Pm", "Pm"], "frac_coords": [[0.881, 0.750, 0.763], [0.175, 0.750, 0.351], [0.976, 0.750, 0.951], [0.024, 0.250, 0.049], [0.825, 0.250, 0.649], [0.119, 0.250, 0.237], [0.702, 0.250, 0.404], [0.431, 0.250, 0.862], [0.298, 0.750, 0.596], [0.569, 0.750, 0.138]]}


#B
{"formula": "Pm2Si3", "functional": "PBE", "state": "optimized geometry", "lattice_angstrom": [[-7.584, -0.215, -3.937], [2.938, -7.969, 0.963], [-0.877, 3.660, 7.675]], "species": ["Si", "Si", "Si", "Si", "Si", "Si", "Si", "Si", "Si", "Si", "Si", "Si", "Pm", "Pm", "Pm", "Pm", "Pm", "Pm", "Pm", "Pm"], "frac_coords": [[0.010, 0.750, 0.260], [0.260, 0.250, 0.010], [0.760, 0.510, 0.750], [0.250, 0.490, 0.740], [0.740, 0.990, 0.250], [0.240, 0.750, 0.490], [0.490, 0.250, 0.240], [0.990, 0.740, 0.750], [0.750, 0.240, 0.990], [0.750, 0.010, 0.760], [0.510, 0.760, 0.250], [0.250, 0.260, 0.510], [0.500, 0.585, 0.500], [0.415, 0.915, 0.915], [0.000, 0.000, 0.585], [0.500, 0.085, 0.500], [0.915, 0.415, 0.415], [0.085, 0.500, 0.000], [0.585, 0.500, 0.000], [0.000, 0.000, 0.085]]}


Q: Which of them is the most stable? A: #A.


#A
{"formula": "Pm3Si", "functional": "PBE", "state": "optimized geometry", "lattice_angstrom": [[-2.228, 1.558, -3.891], [1.985, -3.489, -2.534], [-3.691, -2.817, 0.986]], "species": ["Pm", "Pm", "Pm", "Si"], "frac_coords": [[0.500, 0.500, 0.083], [0.000, 0.500, 0.583], [0.000, 0.000, 0.083], [0.500, 0.000, 0.584]]}


#B
{"formula": "Pm3Si", "functional": "PBE", "state": "optimized geometry", "lattice_angstrom": [[-1.244, 5.072, -1.160], [-5.054, 1.317, -1.160], [-2.867, 2.908, 3.455]], "species": ["Pm", "Pm", "Pm", "Si"], "frac_coords": [[0.000, 0.000, 0.000], [0.750, 0.750, 0.750], [0.250, 0.250, 0.250], [0.500, 0.500, 0.500]]}


Q: Which of them is the most stable? A: #A.